## Na2ZnHgN (PBE)

Data for a relaxed structure of Na2ZnHgN.

Lattice parameters (Å, degrees): 5.1844 5.1844 3.7446 90.00 90.00 90.00
Closest atoms and distances in Å follow each position.
Positions (direct):
Na: 0.5000 0.0000 0.0000  2 N 2.59
Na: 0.0000 0.5000 0.0000  2 N 2.59
Zn: 0.0000 0.0000 0.5000  2 N 1.87
N: 0.0000 0.0000 0.0000  2 Zn 1.87
Hg: 0.5000 0.5000 0.5000  8 Na 3.20

energy relative to the elements, uncorrected: -17 meV per atom
space-group type: P4/mmm (123)
total moment: 0.0 μB per formula unit

***

## Nb2HgN (PBE)

Data for a relaxed structure of Nb2HgN.

Lattice parameters (Å, degrees): 3.2178 3.2178 7.2985 77.26 77.26 60.00
Closest atoms and distances in Å follow each position.
Positions (direct):
Nb: 0.2798 0.2798 0.1607  3 N 2.18
Nb: 0.7202 0.7202 0.8393  3 N 2.18
N: 0.0000 0.0000 0.0000  6 Nb 2.18
Hg: 0.5000 0.5000 0.5000  6 Nb 3.03, 6 Hg 3.22

energy relative to the elements, uncorrected: -485 meV per atom
space-group type: R-3m (166)
polymorph energy (0 for the lowest one): 0 meV/atom
total moment: 0.0 μB per formula unit